DFT (GGA-PBE) results for a geometry-optimized MnBeRh4 structure.

Lattice parameters (Å, degrees): 7.154 7.154 7.154 90.00 90.00 90.00
Space group F-43m (No. 216)
Inequivalent atoms, fractional coordinates:
1 Mn 0.000 0.000 0.000
2 Be 0.250 0.250 0.250
3 Rh 0.125 0.125 0.625

## Properties
DFT formation energy, eV per atom: 0.328
N(E_F), states/eV/atom: 1.53


DFT (GGA-PBE) results for a geometry-optimized U3S3Cl structure.

Lattice parameters (Å, degrees): 3.868 3.868 10.857 90.00 90.00 90.00
Space group P4/mmm (No. 123)
Inequivalent atoms, fractional coordinates:
1 U 0.000 0.000 0.000
2 U 0.500 0.500 0.248
3 S 0.000 0.000 0.258
4 S 0.500 0.500 0.000
5 Cl 0.500 0.500 0.500

## Properties
E_form (uncorrected), eV per atom: -1.4136
N(E_F), states/eV/atom: 1.77


DFT (GGA-PBE) results for a geometry-optimized YAuCl2 structure.

Lattice parameters (Å, degrees): 5.755 12.813 3.914 90.00 90.00 90.00
Space group Cmmm (No. 65)
Inequivalent atoms, fractional coordinates:
1 Y 0.000 0.000 0.000
2 Au 0.000 0.500 0.000
3 Cl 0.000 0.140 0.500

## Properties
E_form (uncorrected), eV per atom: -1.3614


DFT (GGA-PBE) results for a geometry-optimized SrZnAs3 structure.

Lattice parameters (Å, degrees): 5.666 5.666 5.666 90.00 90.00 90.00
Space group Pm-3m (No. 221)
Inequivalent atoms, fractional coordinates:
1 Sr 0.000 0.000 0.000
2 Zn 0.500 0.500 0.500
3 As 0.000 0.000 0.500

## Properties
DFT formation energy, eV per atom: 1.038
N(E_F), states/eV/atom: 0.72


DFT (GGA-PBE) results for a geometry-optimized SrMnTl structure.

Lattice parameters (Å, degrees): 7.491 7.491 7.491 90.00 90.00 90.00
Space group F-43m (No. 216)
Inequivalent atoms, fractional coordinates:
1 Sr 0.000 0.000 0.000
2 Mn 0.250 0.250 0.250
3 Tl 0.250 0.250 0.750

## Properties
DFT formation energy, eV per atom: 0.744
N(E_F), states/eV/atom: 0.89


DFT (GGA-PBE) results for a geometry-optimized Re2AgPdAu structure.

Lattice parameters (Å, degrees): 4.863 4.863 4.827 90.00 90.00 90.00
Space group P4/mmm (No. 123)
Inequivalent atoms, fractional coordinates:
1 Re 0.000 0.500 0.000
2 Ag 0.000 0.000 0.000
3 Pd 0.000 0.000 0.500
4 Au 0.500 0.500 0.500

## Properties
DFT formation energy, eV per atom: 2.536
N(E_F), states/eV/atom: 1.10


DFT (GGA-PBE) results for a geometry-optimized Y2Ta2Cu structure.

Lattice parameters (Å, degrees): 8.547 8.547 3.427 90.00 90.00 90.00
Space group P4/mbm (No. 127)
Inequivalent atoms, fractional coordinates:
1 Y 0.192 0.308 0.000
2 Ta 0.100 0.600 0.500
3 Cu 0.000 0.000 0.000

## Properties
DFT formation energy, eV per atom: 0.832
N(E_F), states/eV/atom: 0.86


DFT (GGA-PBE) results for a geometry-optimized Ho2InPd4 structure.

Lattice parameters (Å, degrees): 7.831 5.000 7.534 90.00 95.48 90.00
Space group C2/m (No. 12)
Inequivalent atoms, fractional coordinates:
1 Ho 0.208 0.000 0.290
2 In 0.000 0.500 0.000
3 Pd 0.086 0.500 0.359
4 Pd 0.148 0.000 0.891

## Properties
DFT formation energy, eV per atom: -0.711
N(E_F), states/eV/atom: 0.43


DFT (GGA-PBE) results for a geometry-optimized DyZr2Tl3Te6 structure.

Lattice parameters (Å, degrees): 7.275 12.609 8.758 90.00 106.10 90.00
Space group C2/m (No. 12)
Inequivalent atoms, fractional coordinates:
1 Dy 0.000 0.000 0.000
2 Zr 0.000 0.332 0.000
3 Tl 0.000 0.161 0.500
4 Tl 0.000 0.500 0.500
5 Te 0.223 0.500 0.208
6 Te 0.244 0.172 0.213

## Properties
E_form (uncorrected), eV per atom: -0.7549
N(E_F), states/eV/atom: 0.53


DFT (GGA-PBE) results for a geometry-optimized Pa3Sb structure.

Lattice parameters (Å, degrees): 3.269 5.366 5.667 90.00 90.00 90.00
Space group Pmm2 (No. 25)
Inequivalent atoms, fractional coordinates:
1 Pa 0.000 0.000 0.000
2 Pa 0.000 0.500 0.380
3 Pa 0.500 0.000 0.507
4 Sb 0.500 0.500 0.867

## Properties
E_form (uncorrected), eV per atom: -0.2057
N(E_F), states/eV/atom: 2.05


DFT (GGA-PBE) results for a geometry-optimized ZrNi4Ag structure.

Lattice parameters (Å, degrees): 6.857 6.857 6.857 90.00 90.00 90.00
Space group F-43m (No. 216)
Inequivalent atoms, fractional coordinates:
1 Zr 0.000 0.000 0.000
2 Ni 0.125 0.125 0.375
3 Ag 0.250 0.250 0.750

## Properties
DFT formation energy, eV per atom: -0.327
N(E_F), states/eV/atom: 1.16


DFT (GGA-PBE) results for a geometry-optimized Sm3V5Te12 structure.

Lattice parameters (Å, degrees): 17.063 17.063 17.063 90.00 90.00 90.00
Space group Ia-3d (No. 230)
Inequivalent atoms, fractional coordinates:
1 Sm 0.000 0.250 0.125
2 V 0.000 0.000 0.000
3 V 0.000 0.250 0.375
4 Te 0.030 0.061 0.648

## Properties
E_form (uncorrected), eV per atom: -0.5572
N(E_F), states/eV/atom: 0.46


| no. | electronic total energy (eV/atom) |
| --- | --- |
| 1 | -6.722 |
| 2 | -8.284 |
| 3 | -4.720 |
| 4 | -2.343 |
| 5 | -3.662 |
| 6 | -4.708 |
| 7 | -7.314 |
| 8 | -5.377 |
| 9 | -4.725 |
| 10 | -8.358 |
| 11 | -6.081 |
| 12 | -5.430 |